PBE SrCr2Cu, optimized geometry; energy above the lowest structure with this stoichiometry = 72 meV per atom; energy relative to the elements = 0.49 eV/atom; spin magnetization = 0.11 μB/f.u.
1.0
3.223 0.000 0.000
0.000 3.223 0.000
0.000 0.000 7.323
Sr Cr Cu
1 2 1
Cartesian
0.000 0.000 0.000
0.000 0.000 3.617
1.611 1.611 2.536
1.611 1.611 5.094